# 1
## Ti3V2Ga3 (PBE)

Data for crystalline Ti3V2Ga3 at its relaxed geometry.

```
Ti3V2Ga3
1.0
3.3421 -0.0003 0.0005
0.0005 4.1958 0.2425
1.6714 1.5623 8.7883
Ga V Ti
3 2 3
Direct
0.1388 0.6404 0.7224
0.8612 0.3596 0.2776
0.0000 0.0000 0.0000
0.7561 0.7561 0.4882
0.2439 0.2439 0.5118
0.6241 0.1257 0.7519
0.3759 0.8743 0.2481
0.5000 0.5000 0.0000
```

Summary:
- Uncorrected energy: -6.71 eV/atom
- D(E_F): 7.62 states/eV/f.u.
- SG: No. 12
- Formation enthalpy at 0 K: -331.7 meV per atom

# 2
## ScAl4Ru5 (PBE)

Data for crystalline ScAl4Ru5 at its relaxed geometry.

```
ScAl4Ru5
1.0
3.0582 0.0000 0.0000
0.0000 3.0582 0.0000
0.0000 0.0000 15.1750
Ru Al Sc
5 4 1
Direct
0.5000 0.5000 0.1113
0.5000 0.5000 0.6952
0.5000 0.5000 0.3048
0.5000 0.5000 0.8887
0.5000 0.5000 0.5000
0.0000 0.0000 0.4028
0.0000 0.0000 0.2073
0.0000 0.0000 0.5972
0.0000 0.0000 0.7927
0.0000 0.0000 0.0000
```

Summary:
- Uncorrected energy: -7.38 eV/atom
- D(E_F): 11.70 states/eV/f.u.
- SG: No. 123
- Formation enthalpy at 0 K: -609.3 meV per atom

# 3
## Ba5Na2P (PBE)

Data for crystalline Ba5Na2P at its relaxed geometry.

```
Ba5Na2P
1.0
9.0223 0.0000 -3.8597
-0.1713 8.5107 -0.4005
-0.6095 0.4882 11.0501
Ba Na P
10 4 2
Direct
0.0001 0.7500 0.0000
0.2282 0.2492 0.4554
0.2272 0.7492 0.4554
0.7617 0.9994 0.1949
0.7718 0.7508 0.5446
0.4333 0.4994 0.1949
0.9999 0.2500 0.0000
0.7728 0.2508 0.5446
0.2383 0.0006 0.8051
0.5667 0.5006 0.8051
0.3799 0.9989 0.2294
0.6201 0.0011 0.7706
0.1505 0.5011 0.7706
0.8495 0.4989 0.2294
0.5000 0.5000 0.5000
0.0000 0.0000 0.5000
```

Summary:
- Uncorrected energy: -2.46 eV/atom
- D(E_F): 6.88 states/eV/f.u.
- SG: No. 15
- Formation enthalpy at 0 K: -256.1 meV per atom

# 4
## HfNpScO6 (PBE)

Data for crystalline HfNpScO6 at its relaxed geometry.

```
HfNpScO6
1.0
5.5148 0.0000 0.0000
-2.7574 4.7759 0.0000
0.0000 0.0000 9.0406
O Sc Np Hf
12 2 2 2
Direct
0.6606 0.9929 0.3692
0.0071 0.6677 0.3692
0.3323 0.3394 0.3692
0.3323 0.9929 0.1308
0.9929 0.6606 0.8692
0.6606 0.6677 0.1308
0.3394 0.3323 0.8692
0.3394 0.0071 0.6308
0.0071 0.3394 0.1308
0.9929 0.3323 0.6308
0.6677 0.0071 0.8692
0.6677 0.6606 0.6308
0.0000 0.0000 0.0000
0.0000 0.0000 0.5000
0.3333 0.6667 0.7500
0.6667 0.3333 0.2500
0.6667 0.3333 0.7500
0.3333 0.6667 0.2500
```

Summary:
- Uncorrected energy: -9.70 eV/atom
- D(E_F): 7.31 states/eV/f.u.
- Formation energy (no corrections): -3.1479 eV per atom
- SG: No. 163

# 5
## Ce2PuH (PBE)

Data for crystalline Ce2PuH at its relaxed geometry.

```
Ce2PuH
1.0
3.6162 0.0000 0.0000
1.8081 3.1317 0.0000
1.8081 1.0439 6.3260
Ce H Pu
2 1 1
Direct
0.2484 0.2484 0.2548
0.0840 0.0840 0.7481
0.6714 0.6714 0.9858
0.4962 0.4962 0.5113
```

Summary:
- Uncorrected energy: -7.18 eV/atom
- D(E_F): 7.08 states/eV/f.u.
- Distance to the lowest polymorph of the same formula: 162.2 meV/atom
- SG: No. 160

# 6
## Hf5Zr2AlPd2 (PBE)

Data for crystalline Hf5Zr2AlPd2 at its relaxed geometry.

```
Hf5Zr2AlPd2
1.0
3.4346 0.0000 0.0000
0.0000 11.1112 0.0000
0.0000 0.0000 11.1112
Hf Al Pd Zr
10 2 4 4
Direct
0.5000 0.5000 0.0000
0.5000 0.4491 0.2987
0.5000 0.0000 0.5000
0.5000 0.2013 0.0509
0.5000 0.7987 0.9491
0.5000 0.9491 0.2013
0.5000 0.5509 0.7013
0.5000 0.7013 0.4491
0.5000 0.0509 0.7987
0.5000 0.2987 0.5509
0.0000 0.0000 0.0000
0.0000 0.5000 0.5000
0.0000 0.6301 0.8699
0.0000 0.3699 0.1301
0.0000 0.1301 0.6301
0.0000 0.8699 0.3699
0.0000 0.3223 0.8223
0.0000 0.8223 0.6777
0.0000 0.6777 0.1777
0.0000 0.1777 0.3223
```

Summary:
- Uncorrected energy: -8.36 eV/atom
- D(E_F): 10.51 states/eV/f.u.
- SG: No. 127
- Formation enthalpy at 0 K: -265.3 meV per atom

> Among the records above, which one has the highest uncorrected energy?

Ba5Na2P